(1)
{
  "formula": "HfGeP2Pb",
  "functional": "PBE",
  "state": "optimized geometry",
  "lattice": [[5.012, 0.000, 0.000], [0.000, 5.012, 0.000], [0.000, 0.000, 5.182]],
  "species": ["Hf", "Ge", "P", "P", "Pb"],
  "fractional_positions": [[0.000, 0.000, 0.000], [0.000, 0.000, 0.500], [0.000, 0.500, 0.000], [0.500, 0.000, 0.000], [0.500, 0.500, 0.500]],
  "magmom_total_mub_per_fu": 0.000,
  "n_ef_per_ev_cell": 3.4,
  "sg": "No. 123",
  "formation_energy_mev_per_atom": 199,
  "crystal_system": "tetragonal"
}

=====

(2)
{
  "formula": "CePrSm2Bi4",
  "functional": "PBE",
  "state": "optimized geometry",
  "lattice": [[7.947, 0.000, 0.000], [0.000, 4.587, 0.000], [-2.642, 0.000, 7.499]],
  "species": ["Ce", "Pr", "Sm", "Sm", "Bi", "Bi", "Bi", "Bi"],
  "fractional_positions": [[0.000, 0.000, 0.000], [0.000, 0.500, 0.500], [0.500, 0.000, 0.500], [0.500, 0.500, 0.000], [0.252, 0.500, 0.249], [0.253, 0.000, 0.754], [0.747, 0.000, 0.246], [0.748, 0.500, 0.751]],
  "magmom_total_mub_per_fu": 0.802,
  "n_ef_per_ev_cell": 8.0,
  "sg": "No. 10",
  "formation_energy_mev_per_atom": -902,
  "crystal_system": "monoclinic"
}

=====

(3)
{
  "formula": "WAu3",
  "functional": "PBE",
  "state": "optimized geometry",
  "lattice": [[3.090, -4.098, 0.000], [3.090, 4.098, 0.000], [0.000, 0.000, 2.764]],
  "species": ["W", "Au", "Au", "Au"],
  "fractional_positions": [[0.000, 0.000, 0.000], [0.000, 0.500, 0.500], [0.500, 0.000, 0.500], [0.500, 0.500, 0.000]],
  "magmom_total_mub_per_fu": 0.000,
  "n_ef_per_ev_cell": 2.3,
  "sg": "No. 65",
  "formation_energy_mev_per_atom": 435,
  "crystal_system": "orthorhombic"
}

=====

(4)
{
  "formula": "Na4Pd6F19",
  "functional": "PBE",
  "state": "optimized geometry",
  "lattice": [[-4.852, 4.852, 4.852], [4.852, -4.852, 4.852], [4.852, 4.852, -4.852]],
  "species": ["Na", "Na", "Na", "Na", "Pd", "Pd", "Pd", "Pd", "Pd", "Pd", "F", "F", "F", "F", "F", "F", "F", "F", "F", "F", "F", "F", "F", "F", "F", "F", "F", "F", "F"],
  "fractional_positions": [[0.000, 0.000, 0.730], [0.000, 0.730, 0.000], [0.270, 0.270, 0.270], [0.730, 0.000, 0.000], [0.162, 0.662, 0.500], [0.338, 0.500, 0.838], [0.500, 0.162, 0.662], [0.500, 0.838, 0.338], [0.662, 0.500, 0.162], [0.838, 0.338, 0.500], [0.000, 0.000, 0.000], [0.000, 0.344, 0.344], [0.000, 0.656, 0.656], [0.035, 0.301, 0.686], [0.267, 0.965, 0.651], [0.301, 0.686, 0.035], [0.314, 0.615, 0.349], [0.344, 0.000, 0.344], [0.344, 0.344, 0.000], [0.349, 0.314, 0.615], [0.385, 0.699, 0.733], [0.615, 0.349, 0.314], [0.651, 0.267, 0.965], [0.656, 0.000, 0.656], [0.656, 0.656, 0.000], [0.686, 0.035, 0.301], [0.699, 0.733, 0.385], [0.733, 0.385, 0.699], [0.965, 0.651, 0.267]],
  "magmom_total_mub_per_fu": 9.043,
  "n_ef_per_ev_cell": 7.3,
  "sg": "No. 197",
  "raw_formation_energy_ev_per_atom": -1.603,
  "crystal_system": "cubic"
}

=====

(5)
{
  "formula": "TiPt3Rh",
  "functional": "PBE",
  "state": "optimized geometry",
  "lattice": [[4.608, 0.000, 0.000], [0.000, 4.608, 0.000], [0.000, 0.000, 4.608]],
  "species": ["Ti", "Pt", "Pt", "Pt", "Rh"],
  "fractional_positions": [[0.000, 0.000, 0.000], [0.000, 0.000, 0.500], [0.000, 0.500, 0.000], [0.500, 0.000, 0.000], [0.500, 0.500, 0.500]],
  "magmom_total_mub_per_fu": 0.560,
  "polymorph_energy_mev_per_atom": 1424,
  "n_ef_per_ev_cell": 4.1,
  "sg": "No. 221",
  "formation_energy_mev_per_atom": 796,
  "crystal_system": "cubic"
}

=====

(6)
{
  "formula": "LaSm2Y",
  "functional": "PBE",
  "state": "optimized geometry",
  "lattice": [[1.771, 1.023, 12.650], [-1.771, 1.023, 12.650], [0.000, -2.045, 12.650]],
  "species": ["La", "Sm", "Sm", "Y"],
  "fractional_positions": [[0.000, 0.000, 0.000], [0.090, 0.090, 0.090], [0.910, 0.910, 0.910], [0.500, 0.500, 0.500]],
  "magmom_total_mub_per_fu": 0.001,
  "polymorph_energy_mev_per_atom": 121,
  "n_ef_per_ev_cell": 6.6,
  "sg": "No. 166",
  "formation_energy_mev_per_atom": 129,
  "crystal_system": "trigonal"
}

=====

(7)
{
  "formula": "CrFe2HW",
  "functional": "PBE",
  "state": "optimized geometry",
  "lattice": [[3.634, 0.000, 0.000], [0.000, 3.634, 0.000], [0.000, 0.000, 3.863]],
  "species": ["Cr", "Fe", "Fe", "H", "W"],
  "fractional_positions": [[0.000, 0.000, 0.000], [0.000, 0.500, 0.500], [0.500, 0.000, 0.500], [0.500, 0.500, 0.500], [0.500, 0.500, 0.000]],
  "magmom_total_mub_per_fu": 1.033,
  "polymorph_energy_mev_per_atom": 73,
  "n_ef_per_ev_cell": 4.6,
  "sg": "No. 123",
  "crystal_system": "tetragonal"
}

=====

(8)
{
  "formula": "Ca2TmZn",
  "functional": "PBE",
  "state": "optimized geometry",
  "lattice": [[3.578, 0.000, 0.000], [0.000, 3.578, 0.000], [0.000, 0.000, 9.465]],
  "species": ["Ca", "Ca", "Tm", "Zn"],
  "fractional_positions": [[0.000, 0.000, 0.201], [0.000, 0.000, 0.799], [0.500, 0.500, 0.500], [0.500, 0.500, 0.000]],
  "magmom_total_mub_per_fu": 0.004,
  "polymorph_energy_mev_per_atom": 0,
  "n_ef_per_ev_cell": 5.4,
  "sg": "No. 123",
  "formation_energy_mev_per_atom": -12,
  "crystal_system": "tetragonal"
}

=====

(9)
{
  "formula": "UPaAl",
  "functional": "PBE",
  "state": "optimized geometry",
  "lattice": [[-1.816, 1.816, 10.739], [1.816, -1.816, 10.739], [1.816, 1.816, -10.739]],
  "species": ["U", "U", "Pa", "Pa", "Al", "Al"],
  "fractional_positions": [[0.146, 0.146, 0.000], [0.854, 0.854, 0.000], [0.298, 0.298, 0.000], [0.702, 0.702, 0.000], [0.440, 0.440, 0.000], [0.560, 0.560, 0.000]],
  "magmom_total_mub_per_fu": 0.000,
  "polymorph_energy_mev_per_atom": 386,
  "n_ef_per_ev_cell": 14.1,
  "sg": "No. 139",
  "formation_energy_mev_per_atom": 351,
  "crystal_system": "tetragonal"
}

=====

(10)
{
  "formula": "K2ScP2Se7",
  "functional": "PBE",
  "state": "optimized geometry",
  "lattice": [[11.494, -3.440, 0.000], [11.494, 3.440, 0.000], [-8.291, 0.000, 18.858]],
  "species": ["K", "K", "K", "K", "K", "K", "K", "K", "Sc", "Sc", "Sc", "Sc", "P", "P", "P", "P", "P", "P", "P", "P", "Se", "Se", "Se", "Se", "Se", "Se", "Se", "Se", "Se", "Se", "Se", "Se", "Se", "Se", "Se", "Se", "Se", "Se", "Se", "Se", "Se", "Se", "Se", "Se", "Se", "Se", "Se", "Se"],
  "fractional_positions": [[0.018, 0.578, 0.326], [0.020, 0.968, 0.638], [0.032, 0.980, 0.862], [0.422, 0.982, 0.174], [0.578, 0.018, 0.826], [0.968, 0.020, 0.138], [0.980, 0.032, 0.362], [0.982, 0.422, 0.674], [0.161, 0.502, 0.997], [0.498, 0.839, 0.503], [0.502, 0.161, 0.497], [0.839, 0.498, 0.003], [0.066, 0.291, 0.857], [0.291, 0.066, 0.357], [0.431, 0.467, 0.957], [0.467, 0.431, 0.457], [0.533, 0.569, 0.543], [0.569, 0.533, 0.043], [0.709, 0.934, 0.643], [0.934, 0.709, 0.143], [0.026, 0.248, 0.278], [0.040, 0.498, 0.855], [0.096, 0.756, 0.969], [0.207, 0.225, 0.470], [0.221, 0.561, 0.497], [0.225, 0.207, 0.970], [0.235, 0.539, 0.141], [0.244, 0.904, 0.531], [0.248, 0.026, 0.778], [0.394, 0.492, 0.352], [0.439, 0.779, 0.003], [0.461, 0.765, 0.359], [0.492, 0.394, 0.852], [0.498, 0.040, 0.355], [0.502, 0.960, 0.645], [0.508, 0.606, 0.148], [0.539, 0.235, 0.641], [0.561, 0.221, 0.997], [0.606, 0.508, 0.648], [0.752, 0.974, 0.222], [0.756, 0.096, 0.469], [0.765, 0.461, 0.859], [0.775, 0.793, 0.030], [0.779, 0.439, 0.503], [0.793, 0.775, 0.530], [0.904, 0.244, 0.031], [0.960, 0.502, 0.145], [0.974, 0.752, 0.722]],
  "magmom_total_mub_per_fu": 0.000,
  "n_ef_per_ev_cell": 0.0,
  "sg": "No. 15",
  "raw_formation_energy_ev_per_atom": -0.816,
  "crystal_system": "monoclinic"
}

=====

(11)
{
  "formula": "La8CoP3Br4",
  "functional": "PBE",
  "state": "optimized geometry",
  "lattice": [[7.363, -4.239, 0.000], [7.363, 4.239, 0.000], [-4.890, 0.000, 7.397]],
  "species": ["La", "La", "La", "La", "La", "La", "La", "La", "Co", "P", "P", "P", "Br", "Br", "Br", "Br"],
  "fractional_positions": [[0.227, 0.749, 0.704], [0.232, 0.232, 0.708], [0.251, 0.773, 0.296], [0.263, 0.263, 0.290], [0.737, 0.737, 0.710], [0.749, 0.227, 0.704], [0.768, 0.768, 0.292], [0.773, 0.251, 0.296], [0.000, 0.000, 0.500], [0.000, 0.500, 0.500], [0.500, 0.000, 0.500], [0.500, 0.500, 0.500], [0.000, 0.000, 0.000], [0.000, 0.500, 0.000], [0.500, 0.000, 0.000], [0.500, 0.500, 0.000]],
  "magmom_total_mub_per_fu": 0.014,
  "n_ef_per_ev_cell": 10.5,
  "sg": "No. 12",
  "raw_formation_energy_ev_per_atom": -1.375,
  "crystal_system": "monoclinic"
}

=====

(12)
{
  "formula": "Rb3Dy3MoS8",
  "functional": "PBE",
  "state": "optimized geometry",
  "lattice": [[3.937, 2.273, 7.844], [-3.937, 2.273, 7.844], [0.000, -4.546, 7.844]],
  "species": ["Rb", "Rb", "Rb", "Dy", "Dy", "Dy", "Mo", "S", "S", "S", "S", "S", "S", "S", "S"],
  "fractional_positions": [[0.000, 0.500, 0.500], [0.500, 0.000, 0.500], [0.500, 0.500, 0.000], [0.000, 0.000, 0.500], [0.000, 0.500, 0.000], [0.500, 0.000, 0.000], [0.500, 0.500, 0.500], [0.231, 0.231, 0.231], [0.253, 0.714, 0.714], [0.286, 0.286, 0.747], [0.286, 0.747, 0.286], [0.714, 0.253, 0.714], [0.714, 0.714, 0.253], [0.747, 0.286, 0.286], [0.769, 0.769, 0.769]],
  "magmom_total_mub_per_fu": 2.000,
  "n_ef_per_ev_cell": 6.1,
  "sg": "No. 166",
  "raw_formation_energy_ev_per_atom": -1.531,
  "crystal_system": "trigonal"
}

=====

(13)
{
  "formula": "K3Np3CuS8",
  "functional": "PBE",
  "state": "optimized geometry",
  "lattice": [[6.996, -3.871, 0.000], [6.996, 3.871, 0.000], [-4.785, 0.000, 7.424]],
  "species": ["K", "K", "K", "Np", "Np", "Np", "Cu", "S", "S", "S", "S", "S", "S", "S", "S"],
  "fractional_positions": [[0.000, 0.000, 0.000], [0.000, 0.500, 0.000], [0.500, 0.000, 0.000], [0.000, 0.500, 0.500], [0.500, 0.000, 0.500], [0.500, 0.500, 0.500], [0.000, 0.000, 0.500], [0.214, 0.744, 0.679], [0.256, 0.786, 0.321], [0.261, 0.261, 0.713], [0.267, 0.267, 0.297], [0.733, 0.733, 0.703], [0.739, 0.739, 0.287], [0.744, 0.214, 0.679], [0.786, 0.256, 0.321]],
  "magmom_total_mub_per_fu": 8.971,
  "n_ef_per_ev_cell": 27.5,
  "sg": "No. 12",
  "raw_formation_energy_ev_per_atom": -1.169,
  "crystal_system": "monoclinic"
}

=====

(14)
{
  "formula": "CeNd2PaBi4",
  "functional": "PBE",
  "state": "optimized geometry",
  "lattice": [[7.916, 0.000, 0.000], [0.000, 4.556, 0.000], [-2.619, 0.000, 7.505]],
  "species": ["Ce", "Nd", "Nd", "Pa", "Bi", "Bi", "Bi", "Bi"],
  "fractional_positions": [[0.000, 0.000, 0.000], [0.000, 0.500, 0.500], [0.500, 0.000, 0.500], [0.500, 0.500, 0.000], [0.253, 0.500, 0.245], [0.255, 0.000, 0.756], [0.745, 0.000, 0.244], [0.747, 0.500, 0.755]],
  "magmom_total_mub_per_fu": 2.044,
  "n_ef_per_ev_cell": 14.4,
  "sg": "No. 10",
  "formation_energy_mev_per_atom": -686,
  "crystal_system": "monoclinic"
}

=====

(15)
{
  "formula": "GaPb3Cl",
  "functional": "PBE",
  "state": "optimized geometry",
  "lattice": [[5.593, 0.000, 0.000], [0.000, 5.593, 0.000], [0.000, 0.000, 5.593]],
  "species": ["Ga", "Pb", "Pb", "Pb", "Cl"],
  "fractional_positions": [[0.000, 0.000, 0.000], [0.000, 0.000, 0.500], [0.000, 0.500, 0.000], [0.500, 0.000, 0.000], [0.500, 0.500, 0.500]],
  "magmom_total_mub_per_fu": 0.000,
  "polymorph_energy_mev_per_atom": 0,
  "n_ef_per_ev_cell": 2.9,
  "sg": "No. 221",
  "raw_formation_energy_ev_per_atom": 0.157,
  "crystal_system": "cubic"
}

=====

(16)
{
  "formula": "TaAg2Cl",
  "functional": "PBE",
  "state": "optimized geometry",
  "lattice": [[1.544, 0.892, 8.922], [-1.544, 0.892, 8.922], [0.000, -1.783, 8.922]],
  "species": ["Ta", "Ag", "Ag", "Cl"],
  "fractional_positions": [[0.000, 0.000, 0.000], [0.247, 0.247, 0.247], [0.753, 0.753, 0.753], [0.500, 0.500, 0.500]],
  "magmom_total_mub_per_fu": 0.000,
  "polymorph_energy_mev_per_atom": 101,
  "n_ef_per_ev_cell": 1.9,
  "sg": "No. 166",
  "raw_formation_energy_ev_per_atom": 0.137,
  "crystal_system": "trigonal"
}

=====

(17)
{
  "formula": "SbRu2",
  "functional": "PBE",
  "state": "optimized geometry",
  "lattice": [[6.183, 0.000, 0.000], [0.000, 6.183, 0.000], [0.000, 0.000, 6.183]],
  "species": ["Sb", "Sb", "Sb", "Sb", "Ru", "Ru", "Ru", "Ru", "Ru", "Ru", "Ru", "Ru"],
  "fractional_positions": [[0.000, 0.000, 0.000], [0.000, 0.500, 0.500], [0.500, 0.000, 0.500], [0.500, 0.500, 0.000], [0.109, 0.609, 0.891], [0.109, 0.891, 0.391], [0.391, 0.109, 0.891], [0.391, 0.391, 0.391], [0.609, 0.609, 0.609], [0.609, 0.891, 0.109], [0.891, 0.109, 0.609], [0.891, 0.391, 0.109]],
  "magmom_total_mub_per_fu": 0.000,
  "n_ef_per_ev_cell": 14.2,
  "sg": "No. 205",
  "raw_formation_energy_ev_per_atom": 0.675,
  "crystal_system": "cubic"
}

=====

(18)
{
  "formula": "ErSiB",
  "functional": "PBE",
  "state": "optimized geometry",
  "lattice": [[-2.320, 2.320, 4.845], [2.320, -2.320, 4.845], [2.320, 2.320, -4.845]],
  "species": ["Er", "Er", "Si", "Si", "B", "B"],
  "fractional_positions": [[0.000, 0.000, 0.000], [0.750, 0.250, 0.500], [0.233, 0.733, 0.500], [0.483, 0.483, 0.000], [0.022, 0.522, 0.500], [0.272, 0.272, 0.000]],
  "magmom_total_mub_per_fu": 0.000,
  "polymorph_energy_mev_per_atom": 838,
  "n_ef_per_ev_cell": 0.7,
  "sg": "No. 109",
  "raw_formation_energy_ev_per_atom": 0.178,
  "crystal_system": "tetragonal"
}